A relaxed LiFeF4 crystal, computed with PBE+U.

Results
Crystal system: monoclinic
N(E_F) in states/eV/cell: 0.000
Calculated density in Mg/m³: 3.3
Spin magnetization in μB/cell: 10.0
ΔE to the lowest computed polymorph in eV/atom: 0.0098
Symmetry: P2_1/c, No. 14

a b c (Å): 5.620 4.754 5.651
angles (deg): 90.00 114.20 90.00
Positions (direct):
Li1 0.000 0.000 0.000
Li2 0.000 0.500 0.500
Fe1 0.500 0.000 0.500
Fe2 0.500 0.500 0.000
F1 0.173 0.187 0.364
F2 0.173 0.313 0.864
F3 0.357 0.711 0.664
F4 0.357 0.789 0.164
F5 0.643 0.211 0.836
F6 0.643 0.289 0.336
F7 0.827 0.687 0.136
F8 0.827 0.813 0.636